# 1
VASP calculation (PBE) on a relaxed structure of Tb2TmIn3PdAu2.

* volume: 203.9 Å³/cell
* total energy: -40.77 eV for the cell shown
* crystal system: orthorhombic

```
Tb2TmIn3PdAu2
1.0
3.915 0.000 0.000
0.000 6.704 3.885
0.000 -6.704 3.885
Tm In Tb Au Pd
1 3 2 2 1
Cartesian
0.000 0.000 4.632
1.957 -1.713 6.776
1.957 1.713 6.776
1.957 0.000 1.981
0.000 -2.716 1.576
0.000 2.716 1.576
1.957 2.205 3.892
1.957 -2.205 3.892
0.000 0.000 7.748
```

# 2
VASP calculation (PBE) on a relaxed structure of Tb2TmIn3Pd2Au.

* volume: 201.2 Å³/cell
* total energy: -42.56 eV for the cell shown
* crystal system: orthorhombic

```
Tb2TmIn3Pd2Au
1.0
-2.915 1.649 1.861
-0.603 -6.250 4.596
4.649 5.889 2.063
Pd Tm In Au Tb
2 1 3 1 2
Cartesian
2.885 1.819 2.907
1.155 -2.180 3.741
0.184 0.678 3.631
1.254 1.583 0.561
2.954 -0.264 4.862
-0.158 -1.681 1.243
-1.453 0.824 0.937
0.702 -1.925 6.751
2.833 2.999 5.724
```

# 3
VASP calculation (PBE) on a relaxed structure of Tb2YIn3Pd2Au.

* volume: 203.1 Å³/cell
* total energy: -44.61 eV for the cell shown
* crystal system: orthorhombic

```
Tb2YIn3Pd2Au
1.0
-2.143 -3.035 1.064
2.844 0.529 7.236
-6.468 3.885 -1.947
In Tb Y Pd Au
3 2 1 2 1
Cartesian
-2.046 -0.331 1.954
-5.456 2.754 3.880
-2.961 1.854 6.341
1.155 0.215 2.938
-2.627 1.578 -0.791
-2.155 2.625 3.145
-1.326 0.128 4.708
-4.438 1.249 1.641
-0.001 0.001 0.001
```

# 4
VASP calculation (PBE) on a relaxed structure of InTe3PdAu.

* volume: 307.7 Å³/cell
* total energy: -42.14 eV for the cell shown
* crystal system: orthorhombic

```
InTe3PdAu
1.0
7.654 -1.975 0.000
7.654 1.975 0.000
0.000 0.000 10.176
Te In Au Pd
6 2 2 2
Cartesian
5.616 0.000 9.824
9.692 0.000 0.352
5.616 0.000 5.440
9.692 0.000 4.736
13.771 0.000 2.544
1.537 0.000 7.632
11.935 0.000 7.632
3.373 0.000 2.544
8.046 0.000 2.544
7.262 0.000 7.632
0.000 0.000 0.000
0.000 0.000 5.088
```

# 5
VASP calculation (PBE) on a relaxed structure of YTm2In3PdAu2.

* volume: 201.3 Å³/cell
* total energy: -42.45 eV for the cell shown
* crystal system: orthorhombic

```
YTm2In3PdAu2
1.0
3.873 0.000 0.000
0.000 6.725 3.864
0.000 -6.725 3.864
Tm Au In Pd Y
2 2 3 1 1
Cartesian
0.000 -4.006 5.425
0.000 4.006 5.425
1.936 2.272 3.856
1.936 -2.272 3.856
1.936 -1.719 6.735
1.936 0.000 1.988
1.936 1.719 6.735
0.000 0.000 0.024
0.000 0.000 4.598
```

# 6
VASP calculation (PBE) on a relaxed structure of Y3In3PdAu2.

* volume: 205.5 Å³/cell
* total energy: -46.57 eV for the cell shown
* crystal system: hexagonal

```
Y3In3PdAu2
1.0
7.792 0.000 0.000
-3.896 6.748 0.000
0.000 0.000 3.908
Au In Y Pd
2 3 3 1
Cartesian
0.000 4.499 0.000
3.896 2.249 0.000
-2.899 5.022 0.000
0.997 1.727 0.000
5.799 0.000 0.000
2.320 4.019 1.954
3.151 0.000 1.954
-1.576 2.729 1.954
0.000 0.000 1.954
```

# 7
VASP calculation (PBE) on a relaxed structure of PrIn2Au2.

* volume: 119.4 Å³/cell
* total energy: -19.46 eV for the cell shown
* crystal system: tetragonal

```
PrIn2Au2
1.0
3.378 5.498 2.314
-2.040 6.513 -0.643
-2.194 -6.215 1.887
Pr Au In
1 2 2
Cartesian
0.000 0.000 0.000
0.816 7.321 1.019
0.523 4.691 0.653
0.927 2.645 2.519
-1.782 3.152 1.040
```

# 8
VASP calculation (PBE) on a relaxed structure of PrIn4Au2.

* volume: 654.8 Å³/cell
* total energy: -101.02 eV for the cell shown
* crystal system: orthorhombic

```
PrIn4Au2
1.0
18.689 0.000 0.000
0.000 4.681 0.000
0.000 0.000 7.485
Au In Pr
8 16 4
Cartesian
0.716 3.511 5.567
4.076 1.170 0.254
13.420 1.170 3.488
8.628 1.170 1.825
5.269 3.511 3.997
17.973 1.170 1.918
14.613 3.511 7.231
10.061 3.511 5.660
3.517 3.511 1.762
12.861 3.511 1.980
5.828 1.170 5.505
12.794 3.511 5.054
15.172 1.170 5.723
5.895 1.170 2.431
3.450 3.511 6.174
8.089 3.511 3.641
18.035 1.170 4.811
8.691 1.170 6.416
1.255 1.170 7.384
17.434 3.511 0.101
10.600 1.170 3.844
9.998 3.511 1.069
15.239 1.170 1.311
0.654 3.511 2.674
11.990 1.170 7.302
16.044 3.511 3.560
6.699 3.511 0.183
2.645 1.170 3.925
```

# 9
VASP calculation (PBE) on a relaxed structure of Pr2InAu2.

* volume: 262.0 Å³/cell
* total energy: -45.29 eV for the cell shown
* crystal system: tetragonal

```
Pr2InAu2
1.0
8.134 0.000 0.000
0.000 8.134 0.000
0.000 0.000 3.960
In Au Pr
2 4 4
Cartesian
4.067 4.067 0.000
0.000 0.000 0.000
1.032 3.035 0.000
5.100 1.032 0.000
3.035 7.102 0.000
7.102 5.100 0.000
2.661 1.407 1.980
6.728 2.661 1.980
5.474 6.728 1.980
1.407 5.474 1.980
```

# 10
VASP calculation (PBE) on a relaxed structure of PrIn2PtAu.

* volume: 233.8 Å³/cell
* total energy: -45.43 eV for the cell shown
* crystal system: tetragonal

```
PrIn2PtAu
1.0
-3.270 1.193 2.929
-2.565 -3.464 -1.453
4.593 -6.697 7.858
In Au Pr Pt
4 2 2 2
Cartesian
2.678 -7.508 6.050
-0.621 -4.484 4.666
-1.003 -0.325 2.545
2.296 -3.349 3.929
0.000 0.000 0.000
-2.918 -1.136 0.738
-0.095 -3.464 1.305
1.770 -4.369 7.290
0.049 -1.860 4.346
1.626 -5.973 4.249
```

# 11
VASP calculation (PBE) on a relaxed structure of Pr3In3Pt2Au.

* volume: 217.3 Å³/cell
* total energy: -45.75 eV for the cell shown
* crystal system: hexagonal

```
Pr3In3Pt2Au
1.0
7.831 0.000 0.000
-3.916 6.782 0.000
0.000 0.000 4.091
In Au Pr Pt
3 1 3 2
Cartesian
-1.014 1.757 2.046
2.028 0.000 2.046
2.902 5.026 2.046
0.000 0.000 0.000
1.623 2.810 0.000
-2.293 3.972 0.000
4.586 0.000 0.000
3.916 2.261 2.046
0.000 4.521 2.046
```

# 12
VASP calculation (PBE) on a relaxed structure of Pr2ScIn3PtAu2.

* volume: 209.3 Å³/cell
* total energy: -43.51 eV for the cell shown
* crystal system: orthorhombic

```
Pr2ScIn3PtAu2
1.0
3.991 0.000 0.000
0.000 6.721 3.901
0.000 -6.721 3.901
Pr In Pt Au Sc
2 3 1 2 1
Cartesian
0.000 2.716 6.221
0.000 -2.716 6.221
1.996 -1.674 1.026
1.996 1.674 1.026
1.996 0.000 5.816
0.000 0.000 0.076
1.996 -2.102 3.868
1.996 2.102 3.868
0.000 0.000 3.085
```

What is the total energy in the third record? -44.61 eV for the cell shown